Record 1
# PBE Y3Th3In2Tc, relaxed
# * total DFT energy (no corrections): -6.680 eV/atom
# * E_form: -253 kJ/mol of formula units
data_Y3Th3In2Tc
_cell_length_a 8.7801
_cell_length_b 8.7801
_cell_length_c 3.8437
_cell_angle_alpha 90.00
_cell_angle_beta 90.00
_cell_angle_gamma 120.00
_symmetry_space_group_name_H-M 'P -6 2 m'
_symmetry_Int_Tables_number 189
_symmetry_space_group_name_Hall 'P -6 -2'
loop_
_atom_site_label
_atom_site_type_symbol
_atom_site_fract_x
_atom_site_fract_y
_atom_site_fract_z
Y1 Y 0.0000 0.3982 0.0000
Th1 Th 0.0000 0.7558 0.5000
In1 In 0.3333 0.6667 0.5000
Tc1 Tc 0.0000 0.0000 0.0000

---

Record 2
# PBE YThInTc, relaxed
# * total DFT energy (no corrections): -6.844 eV/atom
# * E_form: -38 kJ/mol of formula units
data_YThInTc
_cell_length_a 7.332
_cell_length_b 7.332
_cell_length_c 7.332
_cell_angle_alpha 90.00
_cell_angle_beta 90.00
_cell_angle_gamma 90.00
_symmetry_space_group_name_H-M 'F -4 3 m'
_symmetry_Int_Tables_number 216
_symmetry_space_group_name_Hall 'F -4 2 3'
loop_
_atom_site_label
_atom_site_type_symbol
_atom_site_fract_x
_atom_site_fract_y
_atom_site_fract_z
Y1 Y 0.000 0.000 0.000
Th1 Th 0.000 0.000 0.500
In1 In 0.250 0.250 0.250
Tc1 Tc 0.250 0.250 0.750

---

Record 3
# PBE Ti2InTc, relaxed
# * total DFT energy (no corrections): -7.036 eV/atom
# * E_form: 72 kJ/mol of formula units
data_Ti2InTc
_cell_length_a 7.323
_cell_length_b 7.323
_cell_length_c 5.539
_cell_angle_alpha 90.00
_cell_angle_beta 90.00
_cell_angle_gamma 90.00
_symmetry_space_group_name_H-M 'I -4 2 d'
_symmetry_Int_Tables_number 122
_symmetry_space_group_name_Hall 'I -4 2bw'
loop_
_atom_site_label
_atom_site_type_symbol
_atom_site_fract_x
_atom_site_fract_y
_atom_site_fract_z
Ti1 Ti 0.202 0.250 0.125
In1 In 0.000 0.000 0.500
Tc1 Tc 0.000 0.000 0.000